DFT (PBE-GGA) results for a relaxed Ac2Sm4Sn3O2 crystal.

Cell: 4.8488 4.8488 13.6712 Å, 100.21 100.21 90.00°
Sites, in units of the cell vectors:
1 Ac 0.3063 0.3063 0.6126
2 Ac 0.6937 0.6937 0.3874
3 Sm 0.4206 0.9206 0.8411
4 Sm 0.9206 0.4206 0.8411
5 Sm 0.0794 0.5794 0.1589
6 Sm 0.5794 0.0794 0.1589
7 Sn 0.0000 0.0000 0.0000
8 Sn 0.1702 0.1702 0.3404
9 Sn 0.8298 0.8298 0.6596
10 O 0.4060 0.4060 0.8120
11 O 0.5940 0.5940 0.1880

## Properties
* DOS(E_F): 0.64 states/eV per atom
* uncorrected formation energy: -1509 meV/atom
* total energy: -5.97 eV per atom

DFT (PBE-GGA) results for a relaxed AgSe2Cl crystal.

Cell: 7.0817 7.0817 7.0817 Å, 32.28 32.28 32.28°
Sites, in units of the cell vectors:
1 Ag 0.2500 0.2500 0.2500
2 Cl 0.7500 0.7500 0.7500
3 Se 0.9824 0.9824 0.9824
4 Se 0.5176 0.5176 0.5176

## Properties
* DOS(E_F): 0.31 states/eV per atom
* uncorrected formation energy: 135 meV/atom
* polymorph energy (0 for the lowest one): 324 meV/atom
* total energy: -2.78 eV per atom

DFT (PBE-GGA) results for a relaxed Mn2CuBr crystal.

Cell: 5.4862 5.4862 5.4862 Å, 140.06 140.06 57.77°
Sites, in units of the cell vectors:
1 Br 0.5000 0.5000 0.0000
2 Cu 0.7500 0.2500 0.5000
3 Mn 0.0000 0.0000 0.0000
4 Mn 0.2500 0.7500 0.5000

## Properties
* DOS(E_F): 0.70 states/eV per atom
* uncorrected formation energy: 578 meV/atom
* polymorph energy (0 for the lowest one): 316 meV/atom
* total energy: -5.45 eV per atom